Crystalline Si2SN at its relaxed geometry. Source: Alexandria via LeMat-Bulk, functional PBE.

Unit cell a=4.081 b=4.081 c=4.081 alpha=60.00 beta=60.00 gamma=60.00
Sites, in units of the cell vectors:
Si: 0.250 0.250 0.250
Si: 0.750 0.750 0.750
S: 0.000 0.000 0.000
N: 0.500 0.500 0.500

Computed properties:
Energy in eV/cell: -19.10
Total magnetization in μB per formula unit: 0.000



Crystalline MnZnAg2 at its relaxed geometry. Source: Alexandria via LeMat-Bulk, functional PBE.

Unit cell a=3.048 b=3.625 c=5.950 alpha=90.00 beta=90.00 gamma=90.00
Sites, in units of the cell vectors:
Mn: 0.000 0.000 0.000
Zn: 0.000 0.000 0.500
Ag: 0.500 0.500 0.252
Ag: 0.500 0.500 0.748

Computed properties:
Total magnetization in μB per formula unit: 4.075
Energy of formation in kJ/mol of formula units: 55